A plane-wave DFT calculation with PBE was carried out for crystalline LuRu2W at its relaxed geometry.

Output
The energy above the lowest structure with this stoichiometry is 0 meV per atom. The calculation puts the energy of formation at -183 meV/atom. As for the space-group type: No. 123.

```
4
Lattice="3.108 0.000 0.000 0.000 3.108 0.000 0.000 0.000 6.941" Properties=species:S:1:pos:R:3 pbc="T T T"
Lu 0.000 0.000 0.000
Ru 1.554 1.554 1.915
Ru 1.554 1.554 5.026
W 0.000 0.000 3.471
```

A plane-wave DFT calculation with PBE was carried out for crystalline V3As at its relaxed geometry.

Output
The energy above the lowest structure with this stoichiometry is 228 meV per atom. The calculation puts the energy of formation at -224 meV/atom. As for the space-group type: No. 139.

```
4
Lattice="-1.833 1.833 4.048 1.833 -1.833 4.048 1.833 1.833 -4.048" Properties=species:S:1:pos:R:3 pbc="T T T"
V 0.000 0.000 0.000
V 1.833 0.000 2.024
V 0.000 1.833 2.024
As 0.000 0.000 4.048
```

A plane-wave DFT calculation with PBE was carried out for crystalline Er5Rh3 at its relaxed geometry.

Output
The energy above the lowest structure with this stoichiometry is 0 meV per atom. The calculation puts the energy of formation at -791 meV/atom. As for the space-group type: No. 130.

```
32
Lattice="10.804 0.000 0.000 0.000 10.804 0.000 0.000 0.000 6.294" Properties=species:S:1:pos:R:3 pbc="T T T"
Er 0.444 1.747 0.767
Er 0.444 3.655 3.914
Er 1.747 0.444 3.914
Er 1.747 4.958 0.767
Er 2.701 8.103 0.000
Er 2.701 8.103 3.147
Er 3.655 0.444 0.767
Er 3.655 4.958 3.914
Er 4.958 1.747 3.914
Er 4.958 3.655 0.767
Er 5.846 7.149 5.528
Er 5.846 9.057 2.381
Er 7.149 5.846 2.381
Er 7.149 10.360 5.528
Er 8.103 2.701 0.000
Er 8.103 2.701 3.147
Er 9.057 5.846 5.528
Er 9.057 10.360 2.381
Er 10.360 7.149 2.381
Er 10.360 9.057 5.528
Rh 1.034 6.436 4.721
Rh 1.034 9.770 1.574
Rh 2.701 2.701 2.364
Rh 2.701 2.701 5.511
Rh 4.368 6.436 1.574
Rh 4.368 9.770 4.721
Rh 6.436 1.034 1.574
Rh 6.436 4.368 4.721
Rh 8.103 8.103 0.783
Rh 8.103 8.103 3.931
Rh 9.770 1.034 4.721
Rh 9.770 4.368 1.574
```

A plane-wave DFT calculation with PBE was carried out for crystalline Li2CaCu2 at its relaxed geometry.

Output
The energy above the lowest structure with this stoichiometry is 85 meV per atom. The calculation puts the energy of formation at 39 meV/atom. As for the space-group type: No. 127.

```
10
Lattice="7.504 0.000 0.000 0.000 7.504 0.000 0.000 0.000 3.063" Properties=species:S:1:pos:R:3 pbc="T T T"
Li 0.902 2.850 0.000
Li 2.850 6.603 0.000
Li 4.654 0.902 0.000
Li 6.603 4.654 0.000
Ca 0.000 0.000 0.000
Ca 3.752 3.752 0.000
Cu 1.299 5.051 1.531
Cu 2.454 1.299 1.531
Cu 5.051 6.206 1.531
Cu 6.206 2.454 1.531
```

A plane-wave DFT calculation with PBE was carried out for crystalline TcPt2N2 at its relaxed geometry.

Output
The energy above the lowest structure with this stoichiometry is 258 meV per atom. As for the space-group type: No. 127. The uncorrected formation energy is 1.51 eV per atom.

```
10
Lattice="7.004 0.000 0.000 0.000 7.004 0.000 0.000 0.000 2.884" Properties=species:S:1:pos:R:3 pbc="T T T"
Tc 0.000 0.000 0.000
Tc 3.502 3.502 0.000
Pt 0.907 2.596 0.000
Pt 2.596 6.098 0.000
Pt 4.409 0.907 0.000
Pt 6.098 4.409 0.000
N 1.641 5.143 1.442
N 1.861 1.641 1.442
N 5.143 5.363 1.442
N 5.363 1.861 1.442
```

A plane-wave DFT calculation with PBE was carried out for crystalline AgAsIr at its relaxed geometry.

Output
The energy above the lowest structure with this stoichiometry is 279 meV per atom. The calculation puts the energy of formation at 291 meV/atom. As for the space-group type: No. 216.

```
3
Lattice="0.000 3.051 3.051 3.051 0.000 3.051 3.051 3.051 0.000" Properties=species:S:1:pos:R:3 pbc="T T T"
Ag 0.000 0.000 0.000
As 3.051 3.051 3.051
Ir 1.525 1.525 1.525
```

A plane-wave DFT calculation with PBE was carried out for crystalline Tb3PaSe4 at its relaxed geometry.

Output
As for the space-group type: No. 166. The uncorrected formation energy is -1.63 eV per atom.

```
8
Lattice="2.015 1.163 13.741 -2.015 1.163 13.741 0.000 -2.326 13.741" Properties=species:S:1:pos:R:3 pbc="T T T"
Tb 0.000 0.000 0.000
Tb 0.000 0.000 10.281
Tb 0.000 0.000 30.943
Pa 0.000 0.000 20.612
Se 0.000 0.000 5.119
Se 0.000 0.000 15.454
Se 0.000 0.000 25.770
Se 0.000 0.000 36.105
```

A plane-wave DFT calculation with PBE was carried out for crystalline V3MoP at its relaxed geometry.

Output
The energy above the lowest structure with this stoichiometry is 537 meV per atom. The calculation puts the energy of formation at 383 meV/atom. As for the space-group type: No. 221.

```
5
Lattice="4.276 0.000 0.000 0.000 4.276 0.000 0.000 0.000 4.276" Properties=species:S:1:pos:R:3 pbc="T T T"
V 0.000 0.000 2.138
V 0.000 2.138 0.000
V 2.138 0.000 0.000
Mo 2.138 2.138 2.138
P 0.000 0.000 0.000
```

A plane-wave DFT calculation with PBE was carried out for crystalline Li4Pa3Se8 at its relaxed geometry.

Output
The energy above the lowest structure with this stoichiometry is 0 meV per atom. As for the space-group type: No. 166. The uncorrected formation energy is -1.29 eV per atom.

```
15
Lattice="4.104 2.369 6.902 -4.104 2.369 6.902 0.000 -4.739 6.902" Properties=species:S:1:pos:R:3 pbc="T T T"
Li 0.000 0.000 0.000
Li 0.000 0.000 2.774
Li 0.000 0.000 10.354
Li 0.000 0.000 17.933
Pa -2.052 -1.185 6.902
Pa -2.052 1.185 13.805
Pa 0.000 2.369 6.902
Se 0.000 -2.337 8.516
Se -2.024 1.168 8.516
Se 0.000 0.000 5.297
Se -2.024 -1.168 12.191
Se 2.024 1.168 8.516
Se 0.000 0.000 15.410
Se 2.024 -1.168 12.191
Se 0.000 2.337 12.191
```

A plane-wave DFT calculation with PBE was carried out for crystalline Pm2Th4Bi3N2 at its relaxed geometry.

Output
As for the space-group type: No. 139. The uncorrected formation energy is -0.88 eV per atom.

```
11
Lattice="-2.386 2.386 13.672 2.386 -2.386 13.672 2.386 2.386 -13.672" Properties=species:S:1:pos:R:3 pbc="T T T"
Pm 0.000 0.000 5.397
Pm 0.000 0.000 21.948
Th 2.386 0.000 2.390
Th 2.386 0.000 11.282
Th 0.000 2.386 2.390
Th 0.000 2.386 11.282
Bi 0.000 0.000 8.737
Bi 0.000 0.000 13.672
Bi 0.000 0.000 18.608
N 0.000 0.000 2.886
N 0.000 0.000 24.459
```

A plane-wave DFT calculation with PBE was carried out for crystalline Pm2PdPt at its relaxed geometry.

Output
The energy above the lowest structure with this stoichiometry is 166 meV per atom. The calculation puts the energy of formation at -851 meV/atom. As for the space-group type: No. 160.

```
4
Lattice="2.074 1.197 7.032 -2.074 1.197 7.032 0.000 -2.395 7.032" Properties=species:S:1:pos:R:3 pbc="T T T"
Pm 0.000 0.000 0.000
Pm 0.000 0.000 3.726
Pd 0.000 0.000 8.940
Pt 0.000 0.000 12.388
```

A plane-wave DFT calculation with PBE was carried out for crystalline Li2MgCu6 at its relaxed geometry.

Output
The energy above the lowest structure with this stoichiometry is 0 meV per atom. The calculation puts the energy of formation at 23 meV/atom. As for the space-group type: No. 12.

```
9
Lattice="3.811 -2.567 0.000 3.811 2.567 0.000 -2.193 0.000 6.336" Properties=species:S:1:pos:R:3 pbc="T T T"
Li 1.035 0.000 0.692
Li 4.393 0.000 5.644
Mg 3.811 0.000 0.000
Cu 2.726 1.344 1.950
Cu 0.855 0.000 3.327
Cu 2.703 1.344 4.386
Cu 2.726 -1.344 1.950
Cu 4.573 0.000 3.010
Cu 2.703 -1.344 4.386
```

A plane-wave DFT calculation with PBE was carried out for crystalline AlAg2P at its relaxed geometry.

Output
The energy above the lowest structure with this stoichiometry is 64 meV per atom. The calculation puts the energy of formation at 152 meV/atom. As for the space-group type: No. 99.

```
4
Lattice="2.956 0.000 0.000 0.000 2.956 0.000 0.000 0.000 7.763" Properties=species:S:1:pos:R:3 pbc="T T T"
Al 0.000 0.000 0.000
Ag 0.000 0.000 3.691
Ag 1.478 1.478 5.832
P 1.478 1.478 1.557
```

A plane-wave DFT calculation with PBE was carried out for crystalline KZn2Te at its relaxed geometry.

Output
As for the space-group type: No. 216. The uncorrected formation energy is -0.01 eV per atom.

```
4
Lattice="0.000 3.839 3.839 3.839 0.000 3.839 3.839 3.839 0.000" Properties=species:S:1:pos:R:3 pbc="T T T"
K 0.000 0.000 0.000
Zn 1.920 1.920 1.920
Zn 3.839 3.839 3.839
Te 5.759 5.759 5.759
```

A plane-wave DFT calculation with PBE was carried out for crystalline Mn2PtBr at its relaxed geometry.

Output
The energy above the lowest structure with this stoichiometry is 0 meV per atom. As for the space-group type: No. 119. The uncorrected formation energy is -0.10 eV per atom.

```
4
Lattice="-1.630 1.630 7.184 1.630 -1.630 7.184 1.630 1.630 -7.184" Properties=species:S:1:pos:R:3 pbc="T T T"
Mn 0.000 0.000 1.457
Mn 0.000 0.000 12.911
Pt 0.000 0.000 7.184
Br 1.630 0.000 3.592
```

A plane-wave DFT calculation with PBE was carried out for crystalline CdPt2Pb at its relaxed geometry.

Output
The energy above the lowest structure with this stoichiometry is 229 meV per atom. The calculation puts the energy of formation at 50 meV/atom. As for the space-group type: No. 122.

```
8
Lattice="-3.785 3.785 2.915 3.785 -3.785 2.915 3.785 3.785 -2.915" Properties=species:S:1:pos:R:3 pbc="T T T"
Cd 0.000 0.000 0.000
Cd 0.000 3.785 1.457
Pt 1.892 1.869 -0.729
Pt 1.916 -1.892 3.643
Pt 1.892 1.916 2.186
Pt 1.869 5.677 0.729
Pb 3.785 0.000 1.457
Pb 0.000 0.000 2.915
```

A plane-wave DFT calculation with PBE was carried out for crystalline Ga12Te3Se5 at its relaxed geometry.

Output
As for the space-group type: No. 230. The uncorrected formation energy is -0.10 eV per atom.

```
80
Lattice="-8.412 8.412 8.412 8.412 -8.412 8.412 8.412 8.412 -8.412" Properties=species:S:1:pos:R:3 pbc="T T T"
Ga 2.608 -0.222 1.089
Ga 10.010 5.296 -4.428
Ga 11.021 0.222 1.089
Ga 10.010 -3.117 4.428
Ga 8.191 -1.089 2.608
Ga 12.840 -1.598 3.117
Ga 1.089 2.608 -0.222
Ga 11.529 3.985 -1.598
Ga 5.296 4.428 -1.598
Ga 7.323 2.608 0.222
Ga -0.222 1.089 2.608
Ga 4.428 -1.598 5.296
Ga 8.191 7.323 -2.608
Ga 4.428 1.598 3.117
Ga 5.296 -4.428 10.010
Ga 7.323 -2.608 8.191
Ga 3.117 4.428 1.598
Ga 9.502 5.804 0.222
Ga 4.428 10.010 -3.117
Ga 8.191 1.089 5.804
Ga 2.608 8.191 -1.089
Ga 10.010 3.117 3.985
Ga 1.598 3.117 4.428
Ga 2.608 0.222 7.323
Ga 5.804 8.191 1.089
Ga 6.814 5.296 3.985
Ga -1.598 5.296 4.428
Ga 5.804 0.222 9.502
Ga 0.222 7.323 2.608
Ga 3.985 -1.598 11.529
Ga -1.089 2.608 8.191
Ga 5.296 3.985 6.814
Ga 1.089 11.021 0.222
Ga 3.117 12.840 -1.598
Ga 3.985 6.814 5.296
Ga 0.222 1.089 11.021
Ga 3.985 10.010 3.117
Ga 8.634 7.323 5.804
Ga 1.089 5.804 8.191
Ga 3.117 3.985 10.010
Ga -3.117 4.428 10.010
Ga 7.323 5.804 8.634
Ga -4.428 10.010 5.296
Ga 0.222 9.502 5.804
Ga -1.598 11.529 3.985
Ga -2.608 8.191 7.323
Ga -1.598 3.117 12.840
Ga 5.804 8.634 7.323
Te 4.206 2.103 0.000
Te 8.412 4.206 -2.103
Te 2.103 0.000 4.206
Te 10.515 0.000 4.206
Te 0.000 4.206 2.103
Te 4.206 -2.103 8.412
Te 4.206 10.515 0.000
Te 8.412 4.206 6.309
Te -2.103 8.412 4.206
Te 6.309 8.412 4.206
Te 0.000 4.206 10.515
Te 4.206 6.309 8.412
Se 0.000 0.000 0.000
Se 4.206 4.206 -4.206
Se 4.206 -4.206 4.206
Se 8.412 0.000 0.000
Se 12.618 2.103 0.000
Se 8.412 -4.206 6.309
Se 6.309 8.412 -4.206
Se 6.309 0.000 4.206
Se 4.206 6.309 0.000
Se 8.412 4.206 2.103
Se -4.206 4.206 4.206
Se 0.000 8.412 0.000
Se 0.000 0.000 8.412
Se 4.206 4.206 4.206
Se 0.000 4.206 6.309
Se 4.206 2.103 8.412
Se 2.103 8.412 4.206
Se 2.103 0.000 12.618
Se 0.000 12.618 2.103
Se -4.206 6.309 8.412
```

A plane-wave DFT calculation with PBE was carried out for crystalline LuMg2Pb at its relaxed geometry.

Output
The energy above the lowest structure with this stoichiometry is 0 meV per atom. The calculation puts the energy of formation at -238 meV/atom. As for the space-group type: No. 123.

```
4
Lattice="4.518 0.000 0.000 0.000 4.518 0.000 0.000 0.000 4.762" Properties=species:S:1:pos:R:3 pbc="T T T"
Lu 0.000 0.000 0.000
Mg 0.000 2.259 2.381
Mg 2.259 0.000 2.381
Pb 2.259 2.259 0.000
```

A plane-wave DFT calculation with PBE was carried out for crystalline SrLi2Os at its relaxed geometry.

Output
The energy above the lowest structure with this stoichiometry is 196 meV per atom. The calculation puts the energy of formation at 692 meV/atom. As for the space-group type: No. 65.

```
4
Lattice="3.056 -4.096 0.000 3.056 4.096 0.000 0.000 0.000 2.834" Properties=species:S:1:pos:R:3 pbc="T T T"
Sr 0.000 0.000 0.000
Li 1.528 2.048 1.417
Li 1.528 -2.048 1.417
Os 3.056 0.000 0.000
```

A plane-wave DFT calculation with PBE was carried out for crystalline TbDy5Er6 at its relaxed geometry.

Output
The calculation puts the energy of formation at 19 meV/atom. As for the space-group type: No. 12.

```
12
Lattice="3.048 -5.273 0.000 3.048 5.273 0.000 -2.022 0.000 11.469" Properties=species:S:1:pos:R:3 pbc="T T T"
Tb 0.000 0.000 0.000
Dy 2.037 3.515 5.734
Dy 3.048 1.758 0.000
Dy 2.037 0.000 5.734
Dy 3.048 -1.758 0.000
Dy 2.037 -3.515 5.734
Er 1.015 1.758 2.869
Er 0.011 0.000 8.601
Er 1.015 -1.758 2.869
Er 3.058 1.758 8.600
Er 4.063 0.000 2.868
Er 3.058 -1.758 8.600
```